No. 1
# NbO2F

Crystalline NbO2F at its relaxed geometry (GGA-PBEsol, Alexandria via LeMat-Bulk).

```
NbO2F
1.0
5.707 0.000 0.000
0.000 7.692 0.000
-2.853 -3.846 8.513
F O Nb
6 12 6
Direct
0.819 0.335 0.670 F
0.500 0.500 0.000 F
0.649 0.165 0.330 F
0.000 0.000 0.000 F
0.351 0.835 0.670 F
0.181 0.665 0.330 F
0.500 0.000 0.000 O
0.170 0.170 0.841 O
0.830 0.330 0.159 O
0.500 0.500 0.500 O
0.693 0.667 0.333 O
0.170 0.670 0.841 O
0.830 0.830 0.159 O
0.307 0.333 0.667 O
0.500 0.000 0.500 O
0.140 0.167 0.333 O
0.000 0.500 0.000 O
0.860 0.833 0.667 O
0.853 0.583 0.165 Nb
0.147 0.417 0.835 Nb
0.432 0.250 0.500 Nb
0.568 0.750 0.500 Nb
0.812 0.083 0.165 Nb
0.188 0.917 0.835 Nb
```

Output
D(E_F) ... 0.0000 states/eV/atom
Calculated density ... 3.84 g/cm³
Formation energy (no corrections) ... -2.653 eV/atom
Space group ... Imma



No. 2
# ZrV2Mo

Crystalline ZrV2Mo at its relaxed geometry (GGA-PBEsol, Alexandria via LeMat-Bulk).

```
ZrV2Mo
1.0
-3.468 2.271 -1.572
-4.086 -1.692 0.316
-2.931 1.792 2.803
Zr V Mo
1 2 1
Direct
0.500 0.500 0.500 Zr
0.750 0.750 0.750 V
0.250 0.250 0.250 V
0.000 0.000 0.000 Mo
```

Output
D(E_F) ... 1.8114 states/eV/atom
Energy of formation from the pure elements ... 112 meV per atom
Calculated density ... 7.79 g/cm³
Space group ... Fm-3m



No. 3
# CuSb2AuI

Crystalline CuSb2AuI at its relaxed geometry (GGA-PBEsol, Alexandria via LeMat-Bulk).

```
CuSb2AuI
1.0
-4.228 -2.836 1.491
3.162 -3.297 2.697
-0.536 3.163 4.496
I Au Sb Cu
1 1 2 1
Direct
0.000 0.000 0.500 I
0.000 0.000 0.000 Au
0.000 0.500 0.000 Sb
0.500 0.000 0.000 Sb
0.500 0.500 0.500 Cu
```

Output
D(E_F) ... 1.2280 states/eV/atom
Calculated density ... 6.74 g/cm³
Formation energy (no corrections) ... 0.972 eV/atom
Space group ... P4/mmm



No. 4
# K2PSe3

Crystalline K2PSe3 at its relaxed geometry (GGA-PBEsol, Alexandria via LeMat-Bulk).

```
K2PSe3
1.0
8.612 0.000 -0.008
0.000 12.329 0.000
-0.294 0.000 13.699
Se K P
24 16 8
Direct
0.814 0.034 0.468 Se
0.186 0.467 0.960 Se
0.314 0.466 0.468 Se
0.034 0.600 0.679 Se
0.024 0.194 0.902 Se
0.686 0.534 0.532 Se
0.546 0.821 0.390 Se
0.997 0.915 0.815 Se
0.314 0.967 0.040 Se
0.524 0.306 0.902 Se
0.534 0.900 0.679 Se
0.454 0.179 0.610 Se
0.966 0.400 0.321 Se
0.686 0.033 0.960 Se
0.503 0.415 0.185 Se
0.954 0.321 0.610 Se
0.814 0.533 0.040 Se
0.976 0.806 0.098 Se
0.003 0.085 0.185 Se
0.476 0.694 0.098 Se
0.497 0.585 0.815 Se
0.186 0.966 0.532 Se
0.046 0.679 0.390 Se
0.466 0.100 0.321 Se
0.827 0.434 0.814 K
0.788 0.104 0.706 K
0.327 0.066 0.814 K
0.668 0.289 0.436 K
0.673 0.934 0.186 K
0.219 0.732 0.920 K
0.832 0.789 0.564 K
0.719 0.768 0.920 K
0.281 0.232 0.080 K
0.781 0.268 0.080 K
0.332 0.711 0.564 K
0.173 0.566 0.186 K
0.288 0.396 0.706 K
0.212 0.896 0.294 K
0.168 0.211 0.436 K
0.712 0.604 0.294 K
0.573 0.992 0.431 P
0.427 0.008 0.569 P
0.436 0.470 0.931 P
0.936 0.030 0.931 P
0.073 0.508 0.431 P
0.564 0.530 0.069 P
0.064 0.970 0.069 P
0.927 0.492 0.569 P
```

Output
D(E_F) ... 0.0000 states/eV/atom
Calculated density ... 3.16 g/cm³
Formation energy (no corrections) ... -0.801 eV/atom
Space group ... P2_1/c



No. 5
# YBeFe2

Crystalline YBeFe2 at its relaxed geometry (GGA-PBEsol, Alexandria via LeMat-Bulk).

```
YBeFe2
1.0
-2.664 2.203 1.802
-1.663 0.546 -3.126
-2.189 -3.150 0.615
Fe Be Y
2 1 1
Direct
0.500 0.000 0.500 Fe
0.000 0.000 0.000 Fe
0.000 0.500 0.500 Be
0.500 0.500 0.000 Y
```

Output
D(E_F) ... 1.0054 states/eV/atom
Energy of formation from the pure elements ... 347 meV per atom
Calculated density ... 6.42 g/cm³
Space group ... Pmmm



No. 6
# Zr4N2O5

Crystalline Zr4N2O5 at its relaxed geometry (GGA-PBEsol, Alexandria via LeMat-Bulk).

```
Zr4N2O5
1.0
-7.716 3.516 2.117
-0.543 -8.726 0.575
6.159 2.897 5.529
Zr O N
16 20 8
Direct
0.257 0.508 0.298 Zr
0.775 0.260 0.988 Zr
0.226 0.217 0.499 Zr
0.494 0.988 0.495 Zr
0.758 0.958 0.249 Zr
0.499 0.267 0.285 Zr
0.741 0.740 0.524 Zr
0.013 0.732 0.221 Zr
0.036 0.494 0.543 Zr
0.993 0.207 0.723 Zr
0.285 0.786 0.023 Zr
0.288 0.047 0.797 Zr
0.524 0.793 0.793 Zr
0.794 0.497 0.753 Zr
0.543 0.502 0.036 Zr
0.000 0.005 0.001 Zr
0.058 0.503 0.797 O
0.540 0.039 0.271 O
0.251 0.770 0.748 O
0.517 0.029 0.763 O
0.500 0.264 0.533 O
0.019 0.759 0.987 O
0.295 0.500 0.554 O
0.275 0.027 0.028 O
0.240 0.245 0.264 O
0.799 0.737 0.299 O
0.227 0.964 0.506 O
0.003 0.972 0.242 O
0.765 0.237 0.734 O
0.721 0.715 0.759 O
0.004 0.499 0.288 O
0.560 0.264 0.063 O
0.729 0.965 0.486 O
0.043 0.289 0.010 O
0.478 0.500 0.250 O
0.501 0.758 0.530 O
0.501 0.719 0.003 N
0.755 0.500 0.981 N
0.266 0.733 0.236 N
0.772 0.033 0.032 N
0.000 0.969 0.740 N
0.782 0.497 0.498 N
0.287 0.283 0.785 N
0.980 0.227 0.480 N
```

Output
D(E_F) ... 0.0000 states/eV/atom
Calculated density ... 6.06 g/cm³
E above lowest polymorph ... 6.1 kJ/mol of formula units
Formation energy (no corrections) ... -2.927 eV/atom
Space group ... P1